1.
3
Lattice="0.0000 3.2299 3.2299 3.2299 0.0000 3.2299 3.2299 3.2299 0.0000" Properties=species:S:1:pos:R:3 comment="TlIrCl, optimized geometry, DFT PBE" e_tot_ev_per_atom=-3.74 total_magnetization_mub_per_fu=0.001 pbc="T T T"
Tl 0.0000 0.0000 0.0000
Ir 1.6149 1.6149 1.6149
Cl 3.2299 3.2299 3.2299



2.
9
Lattice="3.0187 -5.2507 0.0000 3.0187 5.2507 0.0000 -0.0157 0.0000 6.0592" Properties=species:S:1:pos:R:3 comment="CsAgRhF6, optimized geometry, DFT PBE" e_tot_ev_per_atom=-4.27 total_magnetization_mub_per_fu=1.072 pbc="T T T"
Cs 0.0000 0.0000 0.0000
Ag 3.0108 -1.7458 3.0296
Rh 3.0108 1.7455 3.0296
F 1.3703 1.8094 1.9512
F 2.1489 3.1276 4.1273
F 3.8727 3.1276 1.9319
F 2.2602 0.2988 4.1278
F 3.7615 0.2988 1.9314
F 4.6514 1.8094 4.1080



3.
8
Lattice="2.1249 1.2268 9.1722 -2.1249 1.2268 9.1722 0.0000 -2.4536 9.1722" Properties=species:S:1:pos:R:3 comment="LaZn4GaCu2, optimized geometry, DFT PBE" formation_enthalpy_0k_mev_per_atom=-141 e_tot_ev_per_atom=-2.80 total_magnetization_mub_per_fu=0.000 pbc="T T T"
La 0.0000 0.0000 0.0000
Zn 0.0000 0.0000 3.3698
Zn 0.0000 0.0000 11.1337
Zn 0.0000 0.0000 16.3830
Zn 0.0000 0.0000 24.1470
Ga 0.0000 0.0000 13.7584
Cu 0.0000 0.0000 6.6440
Cu 0.0000 0.0000 20.8727



4.
28
Lattice="11.8566 0.0000 0.0000 0.0000 4.2676 0.0000 0.0000 0.0000 14.8936" Properties=species:S:1:pos:R:3 comment="SrLa2S4, optimized geometry, DFT PBE" e_tot_ev_per_atom=-6.17 total_magnetization_mub_per_fu=0.000 pbc="T T T"
Sr 2.8055 1.0669 2.3433
Sr 3.1228 3.2007 9.7901
Sr 8.7338 1.0669 5.1035
Sr 9.0511 3.2007 12.5503
La 0.7375 3.2007 5.8022
La 1.2396 3.2007 13.3740
La 4.6887 1.0669 5.9272
La 5.1908 1.0669 13.2491
La 6.6658 3.2007 1.6446
La 7.1679 3.2007 8.9665
La 10.6170 1.0669 1.5197
La 11.1191 1.0669 9.0914
S 0.1002 3.2007 10.6698
S 0.7578 3.2007 1.3043
S 1.8320 1.0669 7.5977
S 2.6871 1.0669 11.9953
S 3.2412 3.2007 4.5485
S 4.0963 3.2007 0.1509
S 5.1705 1.0669 8.7511
S 5.8281 1.0669 3.2229
S 6.0285 3.2007 11.6707
S 6.6861 3.2007 6.1425
S 7.7603 1.0669 14.7428
S 8.6154 1.0669 10.3452
S 9.1695 3.2007 2.8983
S 10.0246 3.2007 7.2960
S 11.0988 1.0669 13.5893
S 11.7564 1.0669 4.2239



5.
6
Lattice="4.5524 0.0000 0.0000 -2.2762 3.9425 0.0000 0.0000 0.0000 6.7325" Properties=species:S:1:pos:R:3 comment="Li2PuCdAu2, optimized geometry, DFT PBE" formation_enthalpy_0k_mev_per_atom=-371 e_tot_ev_per_atom=-4.64 total_magnetization_mub_per_fu=5.825 pbc="T T T"
Li 0.0000 2.6283 1.0787
Li 2.2762 1.3142 5.6537
Pu 0.0000 0.0000 3.3662
Cd 0.0000 0.0000 0.0000
Au 0.0000 2.6283 5.0637
Au 2.2762 1.3142 1.6688



6.
8
Lattice="-3.9623 3.9623 2.5954 3.9623 -3.9623 2.5954 3.9623 3.9623 -2.5954" Properties=species:S:1:pos:R:3 comment="CaCdOs2, optimized geometry, DFT PBE" formation_enthalpy_0k_mev_per_atom=1146 e_tot_ev_per_atom=-5.20 total_magnetization_mub_per_fu=0.586 pbc="T T T"
Ca 0.0000 0.0000 0.0000
Ca 0.0000 3.9623 1.2977
Cd 3.9623 0.0000 1.2977
Cd 0.0000 0.0000 2.5954
Os 1.9812 -1.7622 1.9465
Os 2.2001 1.9812 0.6488
Os 1.9812 5.7245 -0.6488
Os 1.7622 1.9812 3.2442



7.
5
Lattice="4.4504 0.0000 0.0000 0.0000 4.4504 0.0000 0.0000 0.0000 4.6795" Properties=species:S:1:pos:R:3 comment="ErSc2AlN, optimized geometry, DFT PBE" e_tot_ev_per_atom=-6.88 total_magnetization_mub_per_fu=0.001 pbc="T T T"
Er 0.0000 0.0000 0.0000
Sc 0.0000 2.2252 2.3398
Sc 2.2252 0.0000 2.3398
Al 2.2252 2.2252 0.0000
N 0.0000 0.0000 2.3398



8.
12
Lattice="3.4023 -3.6500 0.0000 3.4023 3.6500 0.0000 0.0000 0.0000 6.9894" Properties=species:S:1:pos:R:3 comment="AcNp2AlO8, optimized geometry, DFT PBE" e_tot_ev_per_atom=-9.05 total_magnetization_mub_per_fu=4.000 pbc="T T T"
Ac 0.0000 0.0000 0.0000
Np 3.4023 0.0000 1.8740
Np 3.4023 0.0000 5.1155
Al 0.0000 0.0000 3.4947
O 1.3302 0.0000 2.1000
O 1.3302 0.0000 4.8894
O 3.4023 1.4693 3.4947
O 3.4023 1.2312 0.0000
O 3.4023 -1.2312 0.0000
O 3.4023 -1.4693 3.4947
O 5.4744 0.0000 2.1000
O 5.4744 0.0000 4.8894



9.
5
Lattice="6.0006 0.0000 0.0000 0.0000 6.0006 0.0000 0.0000 0.0000 4.9947" Properties=species:S:1:pos:R:3 comment="K2PPtBr, optimized geometry, DFT PBE" e_tot_ev_per_atom=-2.67 total_magnetization_mub_per_fu=1.379 pbc="T T T"
K 0.0000 3.0003 0.0000
K 3.0003 0.0000 0.0000
P 0.0000 0.0000 2.4974
Pt 3.0003 3.0003 2.4974
Br 0.0000 0.0000 0.0000



10.
4
Lattice="0.0000 3.2544 3.2544 3.2544 0.0000 3.2544 3.2544 3.2544 0.0000" Properties=species:S:1:pos:R:3 comment="Hf2BeAl, optimized geometry, DFT PBE" formation_enthalpy_0k_mev_per_atom=-94 e_tot_ev_per_atom=-6.94 total_magnetization_mub_per_fu=0.000 pbc="T T T"
Hf 1.6272 1.6272 1.6272
Hf 4.8815 4.8815 4.8815
Be 0.0000 0.0000 0.0000
Al 3.2544 3.2544 3.2544



11.
5
Lattice="5.3268 0.0000 0.0000 0.0000 5.3268 0.0000 0.0000 0.0000 5.3268" Properties=species:S:1:pos:R:3 comment="Sn3AuCl, optimized geometry, DFT PBE" e_tot_ev_per_atom=-2.89 total_magnetization_mub_per_fu=0.000 pbc="T T T"
Sn 0.0000 0.0000 2.6634
Sn 0.0000 2.6634 0.0000
Sn 2.6634 0.0000 0.0000
Au 2.6634 2.6634 2.6634
Cl 0.0000 0.0000 0.0000



12.
4
Lattice="0.0000 3.6173 3.6173 3.6173 0.0000 3.6173 3.6173 3.6173 0.0000" Properties=species:S:1:pos:R:3 comment="NdErAgPd, optimized geometry, DFT PBE" formation_enthalpy_0k_mev_per_atom=-545 e_tot_ev_per_atom=-4.89 total_magnetization_mub_per_fu=0.000 pbc="T T T"
Nd 0.0000 0.0000 0.0000
Er 3.6173 3.6173 3.6173
Ag 1.8086 1.8086 1.8086
Pd 5.4259 5.4259 5.4259